# 1
A relaxed structure of KBa2AlCu. Source: Alexandria via LeMat-Bulk, functional PBE-GGA.

Calculated total energy   -2.484 eV/atom
Energy of formation   0.072 eV per atom

Cell and atoms, written as CIF:
```
data_KBa2AlCu
_space_group_name_H-M_alt 'P 4/m m m'
_space_group_IT_number 123
_space_group_name_Hall '-P 4 2'
_cell_length_a 6.419
_cell_length_b 6.419
_cell_length_c 4.876
_cell_angle_alpha 90.00
_cell_angle_beta 90.00
_cell_angle_gamma 90.00
loop_
_atom_site_label
_atom_site_type_symbol
_atom_site_fract_x
_atom_site_fract_y
_atom_site_fract_z
K1 K 0.000 0.000 0.000
Ba1 Ba 0.000 0.500 0.500
Al1 Al 0.500 0.500 0.000
Cu1 Cu 0.500 0.500 0.500
```

***

# 2
A relaxed structure of Ba2LiAl12Cu3. Source: Alexandria via LeMat-Bulk, functional PBE-GGA.

Calculated total energy   -3.341 eV/atom
Energy of formation   0.157 eV per atom

Cell and atoms, written as CIF:
```
data_Ba2LiAl12Cu3
_space_group_name_H-M_alt 'R -3 m'
_space_group_IT_number 166
_space_group_name_Hall '-R 3 2"'
_cell_length_a 9.2259
_cell_length_b 9.2259
_cell_length_c 17.8429
_cell_angle_alpha 90.00
_cell_angle_beta 90.00
_cell_angle_gamma 120.00
loop_
_atom_site_label
_atom_site_type_symbol
_atom_site_fract_x
_atom_site_fract_y
_atom_site_fract_z
Ba1 Ba 0.0000 0.0000 0.1009
Li1 Li 0.0000 0.0000 0.5000
Al1 Al 0.0208 0.5104 0.1352
Al2 Al 0.1107 0.2215 0.6263
Cu1 Cu 0.0000 0.5000 0.0000
```

***

# 3
A relaxed structure of Ba2MgAl12Cu3. Source: Alexandria via LeMat-Bulk, functional PBE-GGA.

Calculated total energy   -3.278 eV/atom
Energy of formation   0.202 eV per atom

Cell and atoms, written as CIF:
```
data_Ba2MgAl12Cu3
_space_group_name_H-M_alt 'R -3 m'
_space_group_IT_number 166
_space_group_name_Hall '-R 3 2"'
_cell_length_a 9.2045
_cell_length_b 9.2045
_cell_length_c 18.0846
_cell_angle_alpha 90.00
_cell_angle_beta 90.00
_cell_angle_gamma 120.00
loop_
_atom_site_label
_atom_site_type_symbol
_atom_site_fract_x
_atom_site_fract_y
_atom_site_fract_z
Ba1 Ba 0.0000 0.0000 0.0950
Mg1 Mg 0.0000 0.0000 0.5000
Al1 Al 0.0050 0.5025 0.1338
Al2 Al 0.1043 0.5521 0.2947
Cu1 Cu 0.0000 0.5000 0.0000
```

***

# 4
A relaxed structure of BaMgAlCu. Source: Alexandria via LeMat-Bulk, functional PBE-GGA.

Calculated total energy   -2.931 eV/atom
Energy of formation   -0.092 eV per atom

Cell and atoms, written as CIF:
```
data_BaMgAlCu
_space_group_name_H-M_alt 'R 3 m'
_space_group_IT_number 160
_space_group_name_Hall 'R 3 -2"'
_cell_length_a 4.4770
_cell_length_b 4.4770
_cell_length_c 18.8354
_cell_angle_alpha 90.00
_cell_angle_beta 90.00
_cell_angle_gamma 120.00
loop_
_atom_site_label
_atom_site_type_symbol
_atom_site_fract_x
_atom_site_fract_y
_atom_site_fract_z
Ba1 Ba 0.0000 0.0000 0.0000
Mg1 Mg 0.0000 0.0000 0.8119
Al1 Al 0.0000 0.0000 0.2037
Cu1 Cu 0.0000 0.0000 0.5260
```